1.
# CsLaFe

A relaxed CsLaFe crystal (PBE, OQMD).

Volume in Å³ per cell: 96
E_tot in eV/cell: -10.80
Magnetization in μB per atom: 0.31
Crystal system: cubic
SG: F-43m (216)

a b c (Å): 5.1367 5.1367 5.1367
angles (deg): 60.00 60.00 60.00
Last column: nearest neighbours and their distance in Å.
Sites, in units of the cell vectors:
Cs  0.2500  0.2500  0.2500  4 Fe 3.15
Fe  0.0000  0.0000  0.0000  4 Cs 3.15, 4 La 3.15
La  0.7500  0.7500  0.7500  4 Fe 3.15

2.
# YTaTlFe

A relaxed YTaTlFe crystal (PBE, OQMD).

Volume in Å³ per cell: 77
E_tot in eV/cell: -26.69
Magnetization in μB per atom: 0.22
Crystal system: cubic
SG: F-43m (216)

a b c (Å): 4.7679 4.7679 4.7679
angles (deg): 60.00 60.00 60.00
Last column: nearest neighbours and their distance in Å.
Sites, in units of the cell vectors:
Fe  0.7500  0.7500  0.7500  4 Tl 2.92, 4 Ta 2.92
Ta  0.5000  0.5000  0.5000  4 Y 2.92, 4 Fe 2.92
Tl  0.0000  0.0000  0.0000  4 Fe 2.92, 4 Y 2.92
Y  0.2500  0.2500  0.2500  4 Ta 2.92, 4 Tl 2.92

3.
# ZrZnFeBi

A relaxed ZrZnFeBi crystal (PBE, OQMD).

Volume in Å³ per cell: 74
E_tot in eV/cell: -21.47
Magnetization in μB per atom: 0.23
Crystal system: cubic
SG: F-43m (216)

a b c (Å): 4.7193 4.7193 4.7193
angles (deg): 60.00 60.00 60.00
Last column: nearest neighbours and their distance in Å.
Sites, in units of the cell vectors:
Bi  0.0000  0.0000  0.0000  4 Zn 2.89, 4 Fe 2.89
Fe  0.7500  0.7500  0.7500  4 Zr 2.89, 4 Bi 2.89
Zn  0.2500  0.2500  0.2500  4 Zr 2.89, 4 Bi 2.89
Zr  0.5000  0.5000  0.5000  4 Zn 2.89, 4 Fe 2.89

4.
# ErB4

A relaxed ErB4 crystal (PBE, OQMD).

Volume in Å³ per cell: 292
E_tot in eV/cell: -114.33
Magnetization in μB per atom: 0.02
Crystal system: tetragonal
SG: P4/mbm (127)

a b c (Å): 8.3680 8.3680 4.1742
angles (deg): 90.00 90.00 90.00
Last column: nearest neighbours and their distance in Å.
Sites, in units of the cell vectors:
B  0.1301  0.0572  0.0000  4 B 1.68-1.75
B  0.9428  0.1301  0.0000  4 B 1.68-1.75
B  0.4428  0.3699  0.0000  4 B 1.68-1.75
B  0.6301  0.4428  0.0000  4 B 1.68-1.75
B  0.3699  0.5572  0.0000  4 B 1.68-1.75
B  0.5572  0.6301  0.0000  4 B 1.68-1.75
B  0.0572  0.8699  0.0000  4 B 1.68-1.75
B  0.8699  0.9428  0.0000  4 B 1.68-1.75
B  0.0000  0.0000  0.3079  5 B 1.60-1.75
B  0.5000  0.5000  0.3079  5 B 1.60-1.75
B  0.4345  0.0655  0.5000  1 B 1.55
B  0.9345  0.4345  0.5000  1 B 1.55
B  0.0655  0.5655  0.5000  1 B 1.55
B  0.5655  0.9345  0.5000  1 B 1.55
B  0.0000  0.0000  0.6921  5 B 1.60-1.75
B  0.5000  0.5000  0.6921  5 B 1.60-1.75
Er  0.6375  0.1375  0.0000  8 B 2.54-2.76
Er  0.1375  0.3625  0.0000  8 B 2.54-2.76
Er  0.8625  0.6375  0.0000  8 B 2.54-2.76
Er  0.3625  0.8625  0.0000  8 B 2.54-2.76

5.
# BeFeAsPt

A relaxed BeFeAsPt crystal (PBE, OQMD).

Volume in Å³ per cell: 51
E_tot in eV/cell: -23.02
Magnetization in μB per atom: 0.43
Crystal system: cubic
SG: F-43m (216)

a b c (Å): 4.1606 4.1606 4.1606
angles (deg): 60.00 60.00 60.00
Last column: nearest neighbours and their distance in Å.
Sites, in units of the cell vectors:
As  0.0000  0.0000  0.0000  4 Fe 2.55, 4 Pt 2.55
Be  0.5000  0.5000  0.5000  4 Pt 2.55, 4 Fe 2.55
Fe  0.7500  0.7500  0.7500  4 As 2.55, 4 Be 2.55
Pt  0.2500  0.2500  0.2500  4 Be 2.55, 4 As 2.55

6.
# ErBiSe2O

A relaxed ErBiSe2O crystal (PBE, OQMD).

Volume in Å³ per cell: 236
E_tot in eV/cell: -57.94
Magnetization in μB per atom: 0.00
Crystal system: tetragonal
SG: P4/nmm (129)

a b c (Å): 3.9833 3.9833 14.8651
angles (deg): 90.00 90.00 90.00
Last column: nearest neighbours and their distance in Å.
Sites, in units of the cell vectors:
Bi  0.0000  0.5000  0.1430  5 Se 2.67-2.90
Bi  0.5000  0.0000  0.8570  5 Se 2.67-2.90
Er  0.5000  0.0000  0.4288  4 O 2.26
Er  0.0000  0.5000  0.5712  4 O 2.26
O  0.0000  0.0000  0.5000  4 Er 2.26
O  0.5000  0.5000  0.5000  4 Er 2.26
Se  0.5000  0.0000  0.0956  4 Bi 2.90
Se  0.0000  0.5000  0.3227  1 Bi 2.67
Se  0.5000  0.0000  0.6773  1 Bi 2.67
Se  0.0000  0.5000  0.9044  4 Bi 2.90

7.
# HoLuAl4Ni2

A relaxed HoLuAl4Ni2 crystal (PBE, OQMD).

Volume in Å³ per cell: 140
E_tot in eV/cell: -40.41
Magnetization in μB per atom: 0.00
Crystal system: orthorhombic
SG: Amm2 (38)

a b c (Å): 6.8495 5.4370 5.4370
angles (deg): 43.58 90.00 90.00
Last column: nearest neighbours and their distance in Å.
Sites, in units of the cell vectors:
Al  0.1957  0.1565  0.1565  3 Ni 2.45-2.50, 1 Al 2.68
Al  0.8043  0.1565  0.1565  3 Ni 2.45-2.50, 1 Al 2.68
Al  0.3047  0.8434  0.8434  3 Ni 2.45-2.49, 1 Al 2.67
Al  0.6953  0.8434  0.8434  3 Ni 2.45-2.49, 1 Al 2.67
Ho  0.0000  0.4387  0.4387  3 Ni 2.80-3.02, 4 Al 3.06
Lu  0.5000  0.5614  0.5614  3 Ni 2.80-3.02, 4 Al 3.06
Ni  0.5000  0.2844  0.2844  6 Al 2.45-2.49
Ni  0.0000  0.7158  0.7158  6 Al 2.45-2.50

8.
# Li2TlHg

A relaxed Li2TlHg crystal (PBE, OQMD).

Volume in Å³ per cell: 163
E_tot in eV/cell: -14.69
Crystal system: hexagonal
SG: P6_3/mmc (194)

a b c (Å): 4.6502 4.6502 8.7082
angles (deg): 90.00 90.00 120.00
Last column: nearest neighbours and their distance in Å.
Sites, in units of the cell vectors:
Hg  0.0000  0.0000  0.0000  6 Li 2.78
Hg  0.0000  0.0000  0.5000  6 Li 2.78
Li  0.6667  0.3333  0.0834  3 Hg 2.78, 4 Li 2.90-3.05, 4 Tl 2.90-3.05
Li  0.6667  0.3333  0.4166  3 Hg 2.78, 4 Li 2.90-3.05, 4 Tl 2.90-3.05
Li  0.3333  0.6667  0.5834  3 Hg 2.78, 4 Li 2.90-3.05, 4 Tl 2.90-3.05
Li  0.3333  0.6667  0.9166  3 Hg 2.78, 4 Li 2.90-3.05, 4 Tl 2.90-3.05
Tl  0.3333  0.6667  0.2500  8 Li 2.90-3.05
Tl  0.6667  0.3333  0.7500  8 Li 2.90-3.05